Compound: Fe2HgC
Source: the Alexandria database
Functional: GGA-PBEsol
Structure: optimized geometry

**Energy**: -89.04 eV per cell
**ΔE_f**: 1.470 eV per atom

abc: 5.838 5.838 5.838
angles: 90.00 90.00 90.00
Sites, in units of the cell vectors:
Fe (0.250, 0.250, 0.250)
Fe (0.250, 0.250, 0.750)
Fe (0.250, 0.750, 0.250)
Fe (0.250, 0.750, 0.750)
Fe (0.750, 0.250, 0.250)
Fe (0.750, 0.250, 0.750)
Fe (0.750, 0.750, 0.250)
Fe (0.750, 0.750, 0.750)
Hg (0.000, 0.000, 0.000)
Hg (0.000, 0.500, 0.500)
Hg (0.500, 0.000, 0.500)
Hg (0.500, 0.500, 0.000)
C (0.000, 0.000, 0.500)
C (0.000, 0.500, 0.000)
C (0.500, 0.000, 0.000)
C (0.500, 0.500, 0.500)

Compound: Ho2Fe2Si2C
Source: the Alexandria database
Functional: GGA-PBEsol
Structure: optimized geometry

**Energy**: -108.88 eV per cell
**Formation energy from raw total energies**: -18.04 kcal/mol of atoms

abc: 10.396 3.873 6.622
angles: 90.00 129.47 90.00
Sites, in units of the cell vectors:
Ho (0.059, 0.000, 0.293)
Ho (0.441, 0.500, 0.707)
Ho (0.559, 0.500, 0.293)
Ho (0.941, 0.000, 0.707)
Fe (0.202, 0.500, 0.097)
Fe (0.298, 0.000, 0.903)
Fe (0.702, 0.000, 0.097)
Fe (0.798, 0.500, 0.903)
Si (0.160, 0.500, 0.714)
Si (0.340, 0.000, 0.286)
Si (0.660, 0.000, 0.714)
Si (0.840, 0.500, 0.286)
C (0.000, 0.500, 0.000)
C (0.500, 0.000, 0.000)

Compound: HoTiFe11C
Source: the Alexandria database
Functional: GGA-PBEsol
Structure: optimized geometry

**Energy**: -122.88 eV per cell
**ΔE_f**: -0.098 eV per atom

abc: 6.363 6.363 6.363
angles: 136.48 97.54 98.26
Sites, in units of the cell vectors:
Ho (0.000, 0.000, 0.000)
Ti (0.376, 0.376, 0.000)
Fe (0.005, 0.006, 0.499)
Fe (0.005, 0.507, 0.999)
Fe (0.231, 0.510, 0.721)
Fe (0.231, 0.731, 0.500)
Fe (0.365, 0.008, 0.357)
Fe (0.508, 0.006, 0.001)
Fe (0.508, 0.507, 0.501)
Fe (0.651, 0.008, 0.643)
Fe (0.654, 0.654, 0.000)
Fe (0.783, 0.283, 0.500)
Fe (0.789, 0.510, 0.279)
C (0.007, 0.507, 0.500)

Compound: FeCI2N
Source: the Alexandria database
Functional: GGA-PBEsol
Structure: optimized geometry

**Energy**: -23.15 eV per cell
**Formation energy from raw total energies**: 34.67 kcal/mol of atoms

abc: 5.108 5.108 3.394
angles: 90.00 90.00 90.00
Sites, in units of the cell vectors:
Fe (0.000, 0.000, 0.000)
C (0.500, 0.500, 0.500)
I (0.000, 0.500, 0.000)
I (0.500, 0.000, 0.000)
N (0.000, 0.000, 0.500)

Compound: In3FeC
Source: the Alexandria database
Functional: GGA-PBEsol
Structure: optimized geometry

**Energy**: -20.26 eV per cell
**ΔE_f**: 1.459 eV per atom

abc: 4.860 4.860 4.860
angles: 90.00 90.00 90.00
Sites, in units of the cell vectors:
In (0.000, 0.000, 0.500)
In (0.000, 0.500, 0.000)
In (0.500, 0.000, 0.000)
Fe (0.000, 0.000, 0.000)
C (0.500, 0.500, 0.500)

Compound: InFe2C
Source: the Alexandria database
Functional: GGA-PBEsol
Structure: optimized geometry

**Energy**: -100.23 eV per cell
**ΔE_f**: 1.374 eV per atom

abc: 5.787 5.787 5.787
angles: 90.00 90.00 90.00
Sites, in units of the cell vectors:
In (0.000, 0.000, 0.000)
In (0.000, 0.500, 0.500)
In (0.500, 0.000, 0.500)
In (0.500, 0.500, 0.000)
Fe (0.250, 0.250, 0.250)
Fe (0.250, 0.250, 0.750)
Fe (0.250, 0.750, 0.250)
Fe (0.250, 0.750, 0.750)
Fe (0.750, 0.250, 0.250)
Fe (0.750, 0.250, 0.750)
Fe (0.750, 0.750, 0.250)
Fe (0.750, 0.750, 0.750)
C (0.000, 0.000, 0.500)
C (0.000, 0.500, 0.000)
C (0.500, 0.000, 0.000)
C (0.500, 0.500, 0.500)

Compound: InFeSiC2
Source: the Alexandria database
Functional: GGA-PBEsol
Structure: optimized geometry

**Energy**: -29.31 eV per cell
**Formation energy from raw total energies**: 35.39 kcal/mol of atoms

abc: 3.712 3.712 4.730
angles: 90.00 90.00 90.00
Sites, in units of the cell vectors:
In (0.000, 0.000, 0.000)
Fe (0.500, 0.500, 0.000)
Si (0.500, 0.500, 0.500)
C (0.000, 0.500, 0.500)
C (0.500, 0.000, 0.500)

Compound: FeSnIr2C
Source: the Alexandria database
Functional: GGA-PBEsol
Structure: optimized geometry

**Energy**: -30.87 eV per cell
**ΔE_f**: 2.329 eV per atom

abc: 4.373 4.373 4.658
angles: 90.00 90.00 90.00
Sites, in units of the cell vectors:
Fe (0.000, 0.000, 0.000)
Sn (0.000, 0.000, 0.500)
Ir (0.000, 0.500, 0.000)
Ir (0.500, 0.000, 0.000)
C (0.500, 0.500, 0.500)